## YTh2Al (PBE)

Data for crystalline YTh2Al at its relaxed geometry.

Values from the calculation:
* raw total energy: -25.22 eV/f.u.
* M_tot: 0.000 Bohr magnetons per cell
* calculated formation energy: -43.5 meV/atom
* energy above the lowest structure with this stoichiometry: 0.086 eV/atom

Lattice parameters (Å, degrees): 3.4694 3.4694 9.7139 90.00 90.00 90.00
Space group P4/mmm (No. 123)
Inequivalent atoms, fractional coordinates:
Y: 0.0000 0.0000 0.0000 x1
Th: 0.5000 0.5000 0.2832 x2
Al: 0.0000 0.0000 0.5000 x1